The following is a DFT calculation (PBE) of a relaxed structure of Cs3Ho3ZrTe8.

## Properties
ΔE_f (raw) in eV per atom: -1.28
Mass density in g cm⁻³: 5.4
Magnetization in Bohr magnetons per cell: 0.000

CIF file:
```
data_Cs3Ho3ZrTe8
_cell_length_a 8.8117
_cell_length_b 8.8117
_cell_length_c 27.4239
_cell_angle_alpha 90.00
_cell_angle_beta 90.00
_cell_angle_gamma 120.00
_space_group_name_H-M_alt 'R -3 m'
_space_group_IT_number 166
_space_group_name_Hall '-R 3 2"'
loop_
_atom_site_label
_atom_site_type_symbol
_atom_site_fract_x
_atom_site_fract_y
_atom_site_fract_z
Cs1 Cs 0.0000 0.5000 0.0000
Ho1 Ho 0.0000 0.5000 0.5000
Zr1 Zr 0.0000 0.0000 0.5000
Te1 Te 0.0000 0.0000 0.2299
Te2 Te 0.0117 0.5059 0.2281
```

The following is a DFT calculation (PBE) of a relaxed structure of TbSmEuGa.

## Properties
Mass density in g cm⁻³: 7.9
Magnetization in Bohr magnetons per cell: 30.157
Density of states at the Fermi level in states/eV/f.u.: 5.620
Formation energy from the elements in eV/f.u.: -0.308

CIF file:
```
data_TbSmEuGa
_cell_length_a 7.656
_cell_length_b 7.656
_cell_length_c 7.656
_cell_angle_alpha 90.00
_cell_angle_beta 90.00
_cell_angle_gamma 90.00
_space_group_name_H-M_alt 'F -4 3 m'
_space_group_IT_number 216
_space_group_name_Hall 'F -4 2 3'
loop_
_atom_site_label
_atom_site_type_symbol
_atom_site_fract_x
_atom_site_fract_y
_atom_site_fract_z
Tb1 Tb 0.000 0.000 0.000
Sm1 Sm 0.000 0.000 0.500
Eu1 Eu 0.250 0.250 0.750
Ga1 Ga 0.250 0.250 0.250
```

Question: Which of these has the highest magnetization?
Answer: TbSmEuGa

Question: The highest magnetization belongs to which entry?
Answer: TbSmEuGa

Question: The lowest mass density belongs to which entry?
Answer: Cs3Ho3ZrTe8

Question: Number 2 is which compound?
Answer: TbSmEuGa